# 1
This record from the Alexandria database describes MnCoB2O5 at its PBEsol-relaxed geometry. The functional is meta-GGA SCAN.

Computed properties:
Electronic total energy (eV/atom): -11.182

```
data_MnCoB2O5
_chemical_formula_sum 'Mn2 Co2 B4 O10'
_cell_length_a 3.203
_cell_length_b 6.157
_cell_length_c 9.096
_cell_angle_alpha 77.22
_cell_angle_beta 89.03
_cell_angle_gamma 88.43
_symmetry_space_group_name_H-M 'P -1'
_symmetry_Int_Tables_number 2
_symmetry_space_group_name_Hall '-P 1'
loop_
_atom_site_label
_atom_site_type_symbol
_atom_site_fract_x
_atom_site_fract_y
_atom_site_fract_z
Mn1 Mn 0.243 0.230 0.142
Co1 Co 0.233 0.605 0.587
B1 B 0.315 0.689 0.154
B2 B 0.333 0.100 0.665
O1 O 0.216 0.888 0.673
O2 O 0.244 0.717 0.004
O3 O 0.256 0.288 0.554
O4 O 0.276 0.490 0.256
O5 O 0.447 0.876 0.205
```


# 2
This record from the Alexandria database describes MoBr at its PBEsol-relaxed geometry. The functional is meta-GGA SCAN.

Computed properties:
D(E_F) (states/eV/cell): 3.93
ΔE to the lowest computed polymorph (eV per atom): 0.378
Electronic total energy (eV/atom): -26.737

```
data_MoBr
_chemical_formula_sum 'Mo4 Br4'
_cell_length_a 4.598
_cell_length_b 10.800
_cell_length_c 3.167
_cell_angle_alpha 90.00
_cell_angle_beta 90.00
_cell_angle_gamma 90.00
_symmetry_space_group_name_H-M 'C m c m'
_symmetry_Int_Tables_number 63
_symmetry_space_group_name_Hall '-C 2c 2'
loop_
_atom_site_label
_atom_site_type_symbol
_atom_site_fract_x
_atom_site_fract_y
_atom_site_fract_z
Mo1 Mo 0.000 0.080 0.250
Br1 Br 0.000 0.349 0.250
```